Crystalline ErFe4Cu3O12 at its relaxed geometry. Source: Alexandria via LeMat-Bulk, functional PBE with a Hubbard U.

a = 6.4502 Å, b = 6.4502 Å, c = 6.4502 Å
α = 109.47°, β = 109.47°, γ = 109.47°
Sites, in units of the cell vectors:
Er 0.0000 0.0000 0.0000
Fe 0.0000 0.0000 0.5000
Fe 0.0000 0.5000 0.0000
Fe 0.5000 0.0000 0.0000
Fe 0.5000 0.5000 0.5000
Cu 0.0000 0.5000 0.5000
Cu 0.5000 0.0000 0.5000
Cu 0.5000 0.5000 0.0000
O 0.1428 0.3068 0.8360
O 0.1640 0.4709 0.3068
O 0.1640 0.8572 0.6932
O 0.3068 0.1640 0.4709
O 0.3068 0.8360 0.1428
O 0.4709 0.3068 0.1640
O 0.5291 0.6932 0.8360
O 0.6932 0.1640 0.8572
O 0.6932 0.8360 0.5291
O 0.8360 0.1428 0.3068
O 0.8360 0.5291 0.6932
O 0.8572 0.6932 0.1640

Computed properties:
* uncorrected energy: -6.2793 eV per atom
* space group: Im-3